{"formula": "CuNiS3", "functional": "PBE-GGA", "state": "optimized geometry", "raw_formation_energy_ev_per_atom": 0.646, "relative_energy_mev_per_atom": 396, "magnetic_moment_mub_per_fu": 0.0, "lattice_angstrom": [[4.393, 0.000, 0.000], [0.000, 4.393, 0.000], [0.000, 0.000, 4.393]], "species": ["S", "S", "S", "Cu", "Ni"], "fractional_positions": [[0.000, 0.500, 0.000], [0.000, 0.000, 0.500], [0.500, 0.000, 0.000], [0.500, 0.500, 0.500], [0.000, 0.000, 0.000]]}

***

{"formula": "AlRhCl2", "functional": "PBE-GGA", "state": "optimized geometry", "raw_formation_energy_ev_per_atom": 0.118, "relative_energy_mev_per_atom": 712, "magnetic_moment_mub_per_fu": 1.6, "lattice_angstrom": [[-0.350, 2.574, -7.872], [-3.701, 2.010, -7.140], [-2.203, 5.010, -6.225]], "species": ["Cl", "Cl", "Rh", "Al"], "fractional_positions": [[0.980, 0.980, 0.980], [0.520, 0.520, 0.520], [0.250, 0.250, 0.250], [0.750, 0.750, 0.750]]}

***

no.,E (eV/atom)
1,-3.806
2,-3.579